# 1
First-principles (PBE) data for a relaxed structure of SbPdI6, as listed in the Open Quantum Materials Database.

Calculated values
V = 46.55 Å³ per atom
E = -79.278 eV per cell

The structure in CIF format:
```
data_SbPdI6
_cell_length_a 15.6470
_cell_length_b 12.5609
_cell_length_c 7.8436
_cell_angle_alpha 90.00
_cell_angle_beta 104.90
_cell_angle_gamma 90.00
_space_group_name_H-M_alt 'C 1 2/m 1'
_space_group_IT_number 12
_space_group_name_Hall '-C 2y'
loop_
_atom_site_label
_atom_site_type_symbol
_atom_site_fract_x
_atom_site_fract_y
_atom_site_fract_z
Sb1 Sb 0.0000 0.2037 0.0000
Pd1 Pd 0.1987 0.0000 0.3096
I1 I 0.0839 0.3440 0.8208
I2 I 0.1364 0.0000 0.9631
I3 I 0.1588 0.2028 0.3251
I4 I 0.1931 0.5000 0.3783
```

***

# 2
First-principles (PBE) data for a relaxed structure of SnMo2C, as listed in the Open Quantum Materials Database.

Calculated values
V = 14.94 Å³ per atom
E = -69.672 eV per cell

The structure in CIF format:
```
data_SnMo2C
_cell_length_a 3.1909
_cell_length_b 3.1909
_cell_length_c 13.5500
_cell_angle_alpha 90.00
_cell_angle_beta 90.00
_cell_angle_gamma 120.00
_space_group_name_H-M_alt 'P 63/m m c'
_space_group_IT_number 194
_space_group_name_Hall '-P 6c 2c'
loop_
_atom_site_label
_atom_site_type_symbol
_atom_site_fract_x
_atom_site_fract_y
_atom_site_fract_z
Sn1 Sn 0.3333 0.6667 0.2500
Mo1 Mo 0.3333 0.6667 0.5811
C1 C 0.0000 0.0000 0.0000
```

***

Question: Which formula does entry 1 have?
Answer: SbPdI6